1.
A plane-wave DFT calculation with meta-GGA SCAN was carried out for ScTePdN2 at its PBEsol-relaxed geometry.

Its space-group type is P4/mmm, No. 123. For the uncorrected formation energy, the calculation gives 0.63 eV per atom. The value obtained for the total energy is -19.939 eV/atom.

a b c (Å): 3.999 3.999 5.872
angles (deg): 90.00 90.00 90.00
Element x y z (fractional)
1 Sc 0.000 0.000 0.000
2 Te 0.000 0.000 0.500
3 Pd 0.500 0.500 0.500
4 N 0.000 0.500 0.000
5 N 0.500 0.000 0.000

---

2.
A plane-wave DFT calculation with meta-GGA SCAN was carried out for TaPdSe2N at its PBEsol-relaxed geometry.

Its space-group type is P4/mmm, No. 123. For the uncorrected formation energy, the calculation gives 0.97 eV per atom. The value obtained for the total energy is -28.794 eV/atom.

a b c (Å): 3.582 4.999 4.999
angles (deg): 90.00 90.00 90.00
Element x y z (fractional)
1 N 0.500 0.000 0.000
2 Se 0.000 0.000 0.500
3 Se 0.000 0.500 0.000
4 Pd 0.000 0.000 0.000
5 Ta 0.500 0.500 0.500

---

3.
A plane-wave DFT calculation with meta-GGA SCAN was carried out for YPdSeN2 at its PBEsol-relaxed geometry.

Its space-group type is P4/mmm, No. 123. For the uncorrected formation energy, the calculation gives 0.80 eV per atom. The value obtained for the total energy is -19.055 eV/atom.

a b c (Å): 4.303 4.303 5.614
angles (deg): 90.00 90.00 90.00
Element x y z (fractional)
1 Y 0.000 0.000 0.000
2 Se 0.000 0.000 0.500
3 Pd 0.500 0.500 0.500
4 N 0.000 0.500 0.000
5 N 0.500 0.000 0.000

---

4.
A plane-wave DFT calculation with meta-GGA SCAN was carried out for ZrPdSe2N at its PBEsol-relaxed geometry.

Its space-group type is P4/mmm, No. 123. For the uncorrected formation energy, the calculation gives 0.15 eV per atom. The value obtained for the total energy is -22.438 eV/atom.

a b c (Å): 3.851 5.232 5.232
angles (deg): 90.00 90.00 90.00
Element x y z (fractional)
1 Se 0.000 0.000 0.500
2 Se 0.000 0.500 0.000
3 Zr 0.000 0.000 0.000
4 Pd 0.500 0.500 0.500
5 N 0.500 0.000 0.000

---

5.
A plane-wave DFT calculation with meta-GGA SCAN was carried out for SiPd3N at its PBEsol-relaxed geometry.

Its space-group type is Pm-3m, No. 221. For the uncorrected formation energy, the calculation gives 1.06 eV per atom. The value obtained for the total energy is -22.462 eV/atom.

a b c (Å): 4.426 4.426 4.426
angles (deg): 90.00 90.00 90.00
Element x y z (fractional)
1 Si 0.000 0.000 0.000
2 Pd 0.000 0.500 0.000
3 Pd 0.000 0.000 0.500
4 Pd 0.500 0.000 0.000
5 N 0.500 0.500 0.500

---

6.
A plane-wave DFT calculation with meta-GGA SCAN was carried out for SiPdN3 at its PBEsol-relaxed geometry.

Its space-group type is Pm-3m, No. 221. For the uncorrected formation energy, the calculation gives 0.77 eV per atom. The value obtained for the total energy is -13.359 eV/atom.

a b c (Å): 3.583 3.583 3.583
angles (deg): 90.00 90.00 90.00
Element x y z (fractional)
1 Si 0.000 0.000 0.000
2 Pd 0.500 0.500 0.500
3 N 0.000 0.500 0.000
4 N 0.000 0.000 0.500
5 N 0.500 0.000 0.000

---

7.
A plane-wave DFT calculation with meta-GGA SCAN was carried out for SnTePdN2 at its PBEsol-relaxed geometry.

Its space-group type is P4/mmm, No. 123. For the uncorrected formation energy, the calculation gives 1.25 eV per atom. The value obtained for the total energy is -23.658 eV/atom.

a b c (Å): 4.022 4.022 6.084
angles (deg): 90.00 90.00 90.00
Element x y z (fractional)
1 Te 0.000 0.000 0.500
2 Sn 0.000 0.000 0.000
3 Pd 0.500 0.500 0.500
4 N 0.000 0.500 0.000
5 N 0.500 0.000 0.000

---

8.
A plane-wave DFT calculation with meta-GGA SCAN was carried out for TaTe2PdN at its PBEsol-relaxed geometry.

Its space-group type is P4/mmm, No. 123. For the uncorrected formation energy, the calculation gives 0.29 eV per atom. The value obtained for the total energy is -36.336 eV/atom.

a b c (Å): 3.814 5.418 5.418
angles (deg): 90.00 90.00 90.00
Element x y z (fractional)
1 N 0.500 0.000 0.000
2 Te 0.000 0.000 0.500
3 Te 0.000 0.500 0.000
4 Pd 0.500 0.500 0.500
5 Ta 0.000 0.000 0.000